1.
{"formula": "NaAc2Sb4Pt3", "functional": "PBE-GGA", "state": "optimized geometry", "lattice": [[-3.510, -3.228, -0.142], [2.964, -3.132, -2.041], [2.969, -3.663, 9.932]], "species": ["Na", "Ac", "Ac", "Sb", "Sb", "Sb", "Sb", "Pt", "Pt", "Pt"], "frac_coords": [[0.500, 0.500, 0.500], [0.500, 0.000, 0.249], [0.000, 0.500, 0.751], [0.500, 0.500, 0.000], [0.000, 0.000, 0.000], [0.500, 0.000, 0.639], [0.000, 0.500, 0.361], [0.000, 0.000, 0.500], [0.500, 0.000, 0.883], [0.000, 0.500, 0.117]], "spacegroup": "P-4m2 (115)", "energy_ev_per_cell": -52.26, "crystal_system": "tetragonal", "formation_energy_uncorrected_ev_per_atom": -0.812}

2.
{"formula": "OsPb2Se", "functional": "PBE-GGA", "state": "optimized geometry", "lattice": [[6.388, 0.000, 0.000], [0.000, 6.388, 0.000], [3.194, 3.194, 6.428]], "species": ["Pb", "Pb", "Pb", "Pb", "Os", "Os", "Se", "Se"], "frac_coords": [[0.664, 0.125, 0.250], [0.086, 0.625, 0.250], [0.375, 0.336, 0.750], [0.875, 0.914, 0.750], [0.000, 0.000, 0.000], [0.750, 0.250, 0.500], [0.500, 0.500, 0.000], [0.250, 0.750, 0.500]], "spacegroup": "I-42d (122)", "energy_ev_per_cell": -38.08, "crystal_system": "tetragonal", "formation_energy_uncorrected_ev_per_atom": 0.772}

3.
{"formula": "Mn2CBr", "functional": "PBE-GGA", "state": "optimized geometry", "lattice": [[5.541, 0.000, 0.000], [0.000, 5.541, 0.000], [2.771, 2.771, 4.402]], "species": ["C", "C", "Mn", "Mn", "Mn", "Mn", "Br", "Br"], "frac_coords": [[0.500, 0.500, 0.000], [0.250, 0.750, 0.500], [0.521, 0.125, 0.250], [0.229, 0.625, 0.250], [0.375, 0.479, 0.750], [0.875, 0.771, 0.750], [0.000, 0.000, 0.000], [0.750, 0.250, 0.500]], "spacegroup": "I-42d (122)", "energy_ev_per_cell": -55.58, "crystal_system": "tetragonal", "formation_energy_uncorrected_ev_per_atom": 0.362}

4.
{"formula": "RbAcSb", "functional": "PBE-GGA", "state": "optimized geometry", "lattice": [[-2.010, -0.253, -3.965], [-1.460, -4.086, 1.001], [-4.774, 5.256, 4.585]], "species": ["Sb", "Ac", "Rb"], "frac_coords": [[0.706, 0.706, 0.413], [0.272, 0.272, 0.543], [0.022, 0.022, 0.044]], "spacegroup": "I4mm (107)", "energy_ev_per_cell": -10.61, "crystal_system": "tetragonal", "polymorph_energy_ev_per_atom": 0.0000, "formation_energy_uncorrected_ev_per_atom": -0.471}

no.,total moment (μB per atom)
1,0.000
2,0.000
3,1.750
4,0.000